First-principles (SCAN) data for Ce3Si2Rh2 at its PBEsol-relaxed geometry, as listed in Alexandria via LeMat-Bulk.

It has space group Pbcm (No. 57), with a = 5.479 Å, b = 7.832 Å, c = 12.907 Å, α = 90.00°, β = 90.00° and γ = 90.00°. The inequivalent atoms are Ce at (0.147, 0.248, 0.250), Ce at (0.352, 0.607, 0.599), Si at (0.161, 0.250, 0.000), Si at (0.356, 0.602, 0.250) and Rh at (0.120, 0.538, 0.093).

The final energy comes out at -910.54 eV for the cell shown. The value obtained for the energy relative to the elements, uncorrected is -909.8 meV per atom.